Below is a geometry-optimized NiSe structure, with properties calculated at the PBE-GGA level.

Output
total magnetization: 0.00 μB/f.u.
total DFT energy (no corrections): -4.915 eV per atom
E_form (uncorrected): -282 meV per atom

Lattice parameters (Å, degrees): 10.0045 10.0045 3.3481 90.00 90.00 120.00
Last column: nearest neighbours and their distance in Å.
Space group R3m (No. 160, hexagonal axes)
Unique sites:
Ni 0.0856 0.1712 0.0000 x9  5 Se 2.39-2.48, 2 Ni 2.57
Se 0.2203 0.4407 0.1476 x9  5 Ni 2.39-2.48

---

Below is a geometry-optimized Ti3PdO structure, with properties calculated at the PBE-GGA level.

Output
total magnetization: 0.65 μB/f.u.
total DFT energy (no corrections): -8.067 eV per atom
E_form (uncorrected): -1300 meV per atom

Lattice parameters (Å, degrees): 4.1074 4.1074 4.1074 90.00 90.00 90.00
Last column: nearest neighbours and their distance in Å.
Space group Pm-3m (No. 221)
Unique sites:
Ti 0.0000 0.0000 0.5000 x3  2 O 2.05
Pd 0.5000 0.5000 0.5000 x1  12 Ti 2.90
O 0.0000 0.0000 0.0000 x1  6 Ti 2.05

---

Below is a geometry-optimized TlSbF4 structure, with properties calculated at the PBE-GGA level.

Output
total magnetization: 0.00 μB/f.u.
total DFT energy (no corrections): -4.546 eV per atom
ΔE to the lowest computed polymorph: 4 meV per atom
E_form (uncorrected): -2217 meV per atom

Lattice parameters (Å, degrees): 7.4643 8.2464 8.7736 85.00 88.98 69.76
Last column: nearest neighbours and their distance in Å.
Space group P-1 (No. 2)
Unique sites:
Tl 0.2268 0.2564 0.0068 x2  4 F 2.62-2.81
Tl 0.2554 0.2363 0.5237 x2  4 F 2.64-2.88
Sb 0.2424 0.7840 0.2671 x2  4 F 1.98-2.13
Sb 0.2767 0.7191 0.7568 x2  4 F 1.98-2.13
F 0.0129 0.8838 0.7107 x2  1 Sb 1.99
F 0.0171 0.2560 0.7698 x2  1 Sb 2.11
F 0.1295 0.5694 0.8675 x2  1 Sb 2.09
F 0.2184 0.8666 0.0468 x2  1 Sb 1.98
F 0.2589 0.5961 0.5763 x2  1 Sb 1.98
F 0.3604 0.8832 0.5905 x2  1 Sb 2.13
F 0.3642 0.5380 0.2195 x2  1 Sb 1.99
F 0.4780 0.2040 0.7635 x2  1 Sb 2.13

---

Below is a geometry-optimized LiMnCr structure, with properties calculated at the PBE-GGA level.

Output
total magnetization: 0.00 μB/f.u.
total DFT energy (no corrections): -6.588 eV per atom
ΔE to the lowest computed polymorph: 3 meV per atom
ΔH_f (0 K): 0.315 eV/atom

Lattice parameters (Å, degrees): 4.0675 4.0675 2.3254 90.00 90.00 120.00
Last column: nearest neighbours and their distance in Å.
Space group P3m1 (No. 156)
Unique sites:
Li 0.0000 0.0000 0.0000 x1  2 Li 2.33, 3 Mn 2.49, 3 Cr 2.50
Mn 0.3333 0.6667 0.3536 x1  2 Mn 2.33, 3 Cr 2.43, 3 Li 2.49
Cr 0.6667 0.3333 0.6287 x1  2 Cr 2.33, 3 Mn 2.43, 3 Li 2.50

---

Below is a geometry-optimized Nd2HRh structure, with properties calculated at the PBE-GGA level.

Output
total magnetization: 0.00 μB/f.u.
total DFT energy (no corrections): -5.622 eV per atom
ΔE to the lowest computed polymorph: 0 meV per atom

Lattice parameters (Å, degrees): 14.0892 3.8404 7.1261 90.00 113.52 90.00
Last column: nearest neighbours and their distance in Å.
Space group C2/m (No. 12)
Unique sites:
Nd 0.0143 0.0000 0.2555 x4  2 H 2.31-2.36
Nd 0.2163 0.5000 0.7499 x4  2 H 2.39
H 0.1117 0.0000 0.6040 x4  4 Nd 2.31-2.39
Rh 0.1166 0.5000 0.0601 x4  7 Nd 2.92-3.06, 1 Rh 3.05

---

Below is a geometry-optimized Ba2ZnH structure, with properties calculated at the PBE-GGA level.

Output
total magnetization: 0.00 μB/f.u.
total DFT energy (no corrections): -2.167 eV per atom
ΔE to the lowest computed polymorph: 82 meV per atom

Lattice parameters (Å, degrees): 3.7911 3.7911 8.2078 90.00 90.00 90.00
Last column: nearest neighbours and their distance in Å.
Space group P4/mmm (No. 123)
Unique sites:
Ba 0.0000 0.0000 0.2345 x2  4 H 3.30, 4 Zn 3.45
Zn 0.5000 0.5000 0.5000 x1  8 Ba 3.45, 4 Zn 3.79
H 0.5000 0.5000 0.0000 x1  8 Ba 3.30

---

Below is a geometry-optimized Al3Ru structure, with properties calculated at the PBE-GGA level.

Output
total magnetization: 0.00 μB/f.u.
total DFT energy (no corrections): -5.560 eV per atom
ΔH_f (0 K): -0.434 eV/atom

Lattice parameters (Å, degrees): 4.9022 4.9022 4.9022 90.00 90.00 90.00
Last column: nearest neighbours and their distance in Å.
Space group Pm-3n (No. 223)
Unique sites:
Al 0.0000 0.2500 0.5000 x6  2 Al 2.45, 4 Ru 2.74
Ru 0.0000 0.0000 0.0000 x2  12 Al 2.74

---

Below is a geometry-optimized Tb2InSb structure, with properties calculated at the PBE-GGA level.

Output
total magnetization: 0.00 μB/f.u.
total DFT energy (no corrections): -4.700 eV per atom
ΔE to the lowest computed polymorph: 110 meV per atom
E_form (uncorrected): -669 meV per atom

Lattice parameters (Å, degrees): 4.1821 4.1821 24.1199 90.00 90.00 120.00
Last column: nearest neighbours and their distance in Å.
Space group R-3m (No. 166, hexagonal axes)
Unique sites:
Tb 0.0000 0.0000 0.2434 x6  3 Sb 3.04, 3 In 3.25
In 0.0000 0.0000 0.0000 x3  6 Tb 3.25
Sb 0.0000 0.0000 0.5000 x3  6 Tb 3.04

---

Below is a geometry-optimized KScTlZn2 structure, with properties calculated at the PBE-GGA level.

Output
total magnetization: 1.20 μB/f.u.
total DFT energy (no corrections): -1.358 eV per atom
ΔH_f (0 K): 1.111 eV/atom

Lattice parameters (Å, degrees): 5.5183 5.5183 6.2646 90.00 90.00 90.00
Last column: nearest neighbours and their distance in Å.
Space group P4/mmm (No. 123)
Unique sites:
K 0.0000 0.0000 0.0000 x1  4 Zn 2.76
Sc 0.0000 0.0000 0.5000 x1  2 K 3.13
Tl 0.5000 0.5000 0.5000 x1  4 Sc 3.90, 8 Zn 4.17
Zn 0.0000 0.5000 0.0000 x2  2 K 2.76

---

Below is a geometry-optimized Sm2HoTm2Sc structure, with properties calculated at the PBE-GGA level.

Output
total magnetization: 0.00 μB/f.u.
total DFT energy (no corrections): -4.603 eV per atom
ΔH_f (0 K): 0.279 eV/atom

Lattice parameters (Å, degrees): 6.4709 17.5043 3.3143 90.00 90.00 90.00
Last column: nearest neighbours and their distance in Å.
Space group Pnnm (No. 58)
Unique sites:
Sm 0.2441 0.1836 0.0000 x4  4 Tm 3.30-3.44, 2 Sm 3.31, 1 Sc 3.58
Ho 0.0000 0.5000 0.0000 x2  2 Ho 3.31, 4 Tm 3.40, 4 Sc 3.64
Tm 0.2422 0.3559 0.5000 x4  1 Sc 3.02, 2 Sm 3.30-3.32, 2 Tm 3.31
Sc 0.0000 0.0000 0.0000 x2  2 Tm 3.02, 2 Sc 3.31

---

Below is a geometry-optimized CaBrCl2 structure, with properties calculated at the PBE-GGA level.

Output
total magnetization: 1.01 μB/f.u.
total DFT energy (no corrections): -3.319 eV per atom
ΔE to the lowest computed polymorph: 159 meV per atom
E_form (uncorrected): -1477 meV per atom

Lattice parameters (Å, degrees): 12.1987 3.9370 5.5376 90.00 105.93 90.00
Last column: nearest neighbours and their distance in Å.
Space group C2/m (No. 12)
Unique sites:
Ca 0.0000 0.0000 0.0000 x2  4 Cl 2.73
Br 0.0000 0.5000 0.5000 x2  2 Cl 2.96
Cl 0.1562 0.5000 0.1744 x4  2 Ca 2.73, 1 Br 2.96

---

Below is a geometry-optimized LiSi2Ni5 structure, with properties calculated at the PBE-GGA level.

Output
total magnetization: 0.00 μB/f.u.
total DFT energy (no corrections): -5.554 eV per atom
ΔE to the lowest computed polymorph: 8 meV per atom
E_form (uncorrected): -346 meV per atom

Lattice parameters (Å, degrees): 2.7066 7.1508 9.6405 90.00 90.00 90.00
Last column: nearest neighbours and their distance in Å.
Space group Immm (No. 71)
Unique sites:
Li 0.0000 0.0000 0.0000 x2  2 Li 2.71, 8 Ni 2.72, 4 Si 2.81
Si 0.0000 0.5000 0.2451 x4  7 Ni 2.28-2.36
Ni 0.0000 0.2253 0.3650 x8  3 Si 2.28-2.36, 2 Ni 2.47
Ni 0.0000 0.5000 0.0000 x2  2 Si 2.36, 8 Ni 2.47

---

Below is a geometry-optimized Mg3TcRh structure, with properties calculated at the PBE-GGA level.

Output
total magnetization: 2.96 μB/f.u.
total DFT energy (no corrections): -3.843 eV per atom
ΔE to the lowest computed polymorph: 0 meV per atom
ΔH_f (0 K): 0.658 eV/atom

Lattice parameters (Å, degrees): 4.7895 4.7895 4.7895 90.00 90.00 90.00
Last column: nearest neighbours and their distance in Å.
Space group Pm-3m (No. 221)
Unique sites:
Mg 0.0000 0.0000 0.5000 x3  2 Rh 2.39
Tc 0.5000 0.5000 0.5000 x1  12 Mg 3.39
Rh 0.0000 0.0000 0.0000 x1  6 Mg 2.39

---

Below is a geometry-optimized NaSc3Te structure, with properties calculated at the PBE-GGA level.

Output
total magnetization: 0.00 μB/f.u.
total DFT energy (no corrections): -3.988 eV per atom
ΔE to the lowest computed polymorph: 543 meV per atom
E_form (uncorrected): 703 meV per atom

Lattice parameters (Å, degrees): 5.1529 5.1529 5.1529 90.00 90.00 90.00
Last column: nearest neighbours and their distance in Å.
Space group Pm-3m (No. 221)
Unique sites:
Na 0.0000 0.0000 0.0000 x1  6 Sc 2.58
Sc 0.0000 0.0000 0.5000 x3  2 Na 2.58
Te 0.5000 0.5000 0.5000 x1  12 Sc 3.64

---

Below is a geometry-optimized Mg2Zn2Se3 structure, with properties calculated at the PBE-GGA level.

Output
total magnetization: 0.00 μB/f.u.
total DFT energy (no corrections): -2.484 eV per atom
ΔE to the lowest computed polymorph: 589 meV per atom
E_form (uncorrected): -171 meV per atom

Lattice parameters (Å, degrees): 3.6249 27.2815 3.5847 90.00 90.00 90.00
Last column: nearest neighbours and their distance in Å.
Space group Cmmm (No. 65)
Unique sites:
Mg 0.0000 0.2076 0.0000 x4  1 Se 2.52
Zn 0.0000 0.4112 0.5000 x4  5 Se 2.42-2.65
Se 0.0000 0.1152 0.0000 x4  1 Mg 2.52, 4 Zn 2.65
Se 0.0000 0.5000 0.5000 x2  2 Zn 2.42

---

Below is a geometry-optimized YGaAg3 structure, with properties calculated at the PBE-GGA level.

Output
total magnetization: 0.00 μB/f.u.
total DFT energy (no corrections): -3.533 eV per atom
ΔE to the lowest computed polymorph: 314 meV per atom
ΔH_f (0 K): 0.076 eV/atom

Lattice parameters (Å, degrees): 4.8547 4.8547 4.8547 90.00 90.00 90.00
Last column: nearest neighbours and their distance in Å.
Space group Pm-3m (No. 221)
Unique sites:
Y 0.0000 0.0000 0.0000 x1  12 Ag 3.43
Ga 0.5000 0.5000 0.5000 x1  6 Ag 2.43
Ag 0.0000 0.5000 0.5000 x3  2 Ga 2.43

---

Below is a geometry-optimized SmThSbP structure, with properties calculated at the PBE-GGA level.

Output
total magnetization: 0.00 μB/f.u.
total DFT energy (no corrections): -6.640 eV per atom
E_form (uncorrected): -1222 meV per atom

Lattice parameters (Å, degrees): 4.2413 4.2413 22.0091 90.00 90.00 120.00
Last column: nearest neighbours and their distance in Å.
Space group R3m (No. 160, hexagonal axes)
Unique sites:
Sm 0.0000 0.0000 0.0000 x3  3 P 2.94, 3 Sb 3.21
Th 0.0000 0.0000 0.8112 x3  3 P 2.90, 3 Sb 3.21
Sb 0.0000 0.0000 0.2389 x3  3 Th 3.21, 3 Sm 3.21
P 0.0000 0.0000 0.4073 x3  3 Th 2.90, 3 Sm 2.94

---

Below is a geometry-optimized TbDy3Bi2 structure, with properties calculated at the PBE-GGA level.

Output
total magnetization: 0.00 μB/f.u.
total DFT energy (no corrections): -4.958 eV per atom
ΔE to the lowest computed polymorph: 0 meV per atom
ΔH_f (0 K): -0.592 eV/atom

Lattice parameters (Å, degrees): 4.5522 4.5522 8.6255 90.00 90.00 90.00
Last column: nearest neighbours and their distance in Å.
Space group P-4m2 (No. 115)
Unique sites:
Tb 0.0000 0.0000 0.0000 x1  4 Dy 3.22, 4 Bi 3.35
Dy 0.0000 0.5000 0.3461 x2  5 Bi 3.19-3.26
Dy 0.5000 0.5000 0.0000 x1  4 Tb 3.22, 4 Bi 3.35
Bi 0.0000 0.5000 0.7153 x2  7 Dy 3.19-3.35, 2 Tb 3.35

---

Below is a geometry-optimized BaPr2Sn6 structure, with properties calculated at the PBE-GGA level.

Output
total magnetization: 0.00 μB/f.u.
total DFT energy (no corrections): -4.406 eV per atom
ΔH_f (0 K): -0.461 eV/atom

Lattice parameters (Å, degrees): 4.6074 8.7063 15.0976 90.00 90.00 90.00
Last column: nearest neighbours and their distance in Å.
Space group Immm (No. 71)
Unique sites:
Ba 0.0000 0.0000 0.0000 x2  4 Sn 3.61
Pr 0.0000 0.5000 0.1311 x4  10 Sn 3.30-3.48
Sn 0.0000 0.1803 0.5000 x4  3 Sn 3.00-3.14
Sn 0.0000 0.2821 0.3103 x8  3 Sn 2.99-3.00, 1 Pr 3.30

---

Below is a geometry-optimized Tm3Ga8Rh3 structure, with properties calculated at the PBE-GGA level.

Output
total magnetization: 0.00 μB/f.u.
total DFT energy (no corrections): -4.966 eV per atom
ΔE to the lowest computed polymorph: 0 meV per atom
ΔH_f (0 K): -0.703 eV/atom

Lattice parameters (Å, degrees): 15.3530 4.3167 8.9857 90.00 123.55 90.00
Last column: nearest neighbours and their distance in Å.
Space group C2/m (No. 12)
Unique sites:
Tm 0.0000 0.0000 0.0000 x2  8 Ga 3.11-3.18, 4 Rh 3.33
Tm 0.2087 0.5000 0.7015 x4  9 Ga 2.95-3.15, 3 Rh 3.11-3.13
Ga 0.0032 0.5000 0.6777 x4  3 Rh 2.60-2.67, 5 Ga 2.68-2.84
Ga 0.1370 0.0000 0.8428 x4  4 Rh 2.50-2.60, 2 Ga 2.78
Ga 0.1393 0.0000 0.4243 x4  1 Rh 2.58, 5 Ga 2.64-2.85
Ga 0.1515 0.5000 0.2681 x4  1 Rh 2.50, 3 Ga 2.64-2.68
Rh 0.0000 0.0000 0.5000 x2  8 Ga 2.58-2.67
Rh 0.1665 0.5000 0.0049 x4  5 Ga 2.50-2.60